Cs2FePdCl6 | PBE | optimized geometry

Geometry as POSCAR:
```
Cs2FePdCl6
1.0
-0.538 -6.554 -2.540
6.657 0.343 -2.295
4.870 -5.170 2.524
Cl Cs Pd Fe
6 2 1 1
Direct
0.702 0.702 0.596 Cl
0.298 0.298 0.404 Cl
0.757 0.243 0.000 Cl
0.243 0.757 0.000 Cl
0.243 0.243 0.000 Cl
0.757 0.757 0.000 Cl
0.750 0.250 0.500 Cs
0.250 0.750 0.500 Cs
0.000 0.000 0.000 Pd
0.500 0.500 0.000 Fe
```

DFT total energy   -3.808 eV per atom
Uncorrected formation energy   -1.16 eV per atom
Density of states at the Fermi level   10.65 states/eV/f.u.